The following is a DFT calculation (PBE) of a relaxed structure of NiPd7Pt4.

Values from the calculation:
Its energy above the most stable polymorph in this dataset is 0.00 eV per formula unit. As for the crystal system: trigonal. As for the density of states at the Fermi level: 25.489 states/eV/f.u. For the final energy, the calculation gives -5.53 eV/atom. The formation energy is -0.009 eV per atom.

Unit cell a=2.778 b=2.778 c=27.289 alpha=90.00 beta=90.00 gamma=120.00
Sites, in units of the cell vectors:
1 Ni 0.000 0.000 0.000
2 Pd 0.000 0.000 0.246
3 Pd 0.000 0.000 0.500
4 Pd 0.000 0.000 0.754
5 Pd 0.333 0.667 0.670
6 Pd 0.333 0.667 0.925
7 Pd 0.667 0.333 0.075
8 Pd 0.667 0.333 0.330
9 Pt 0.333 0.667 0.161
10 Pt 0.333 0.667 0.415
11 Pt 0.667 0.333 0.585
12 Pt 0.667 0.333 0.839